Record 1
Entry from the Alexandria database: K2PuTlSe4 after structural relaxation (PBE).

Lattice parameters (Å, degrees): 7.615 4.279 8.005 90.00 108.33 90.00
Space group P2/m (No. 10)
Inequivalent atoms, fractional coordinates:
1 K 0.000 0.000 0.000
2 K 0.500 0.500 0.000
3 Pu 0.000 0.500 0.500
4 Tl 0.500 0.000 0.500
5 Se 0.216 0.000 0.706
6 Se 0.246 0.500 0.296

Values from the calculation:
VASP energy = -5.131 eV per atom
Mass density = 5.65 g/cm3
E_form (uncorrected) = -1.03 eV per atom



Record 2
Entry from the Alexandria database: PrSm2Dy4 after structural relaxation (PBE).

Lattice parameters (Å, degrees): 7.759 7.763 8.175 89.93 89.88 89.99
Space group P-1 (No. 2)
Inequivalent atoms, fractional coordinates:
1 Pr 0.000 0.000 0.000
2 Pr 0.000 0.000 0.500
3 Sm 0.000 0.500 0.000
4 Sm 0.500 0.000 0.000
5 Sm 0.500 0.500 0.000
6 Sm 0.500 0.500 0.500
7 Dy 0.250 0.747 0.280
8 Dy 0.251 0.252 0.280
9 Dy 0.252 0.252 0.720
10 Dy 0.252 0.749 0.720

Values from the calculation:
VASP energy = -4.342 eV per atom
Excess energy over the best structure of this formula in the dataset = 0.1985 eV per atom
Mass density = 7.36 g/cm3



Record 3
Entry from the Alexandria database: ScTi2AgN after structural relaxation (PBE).

Lattice parameters (Å, degrees): 4.166 4.166 4.408 90.00 90.00 90.00
Space group P4/mmm (No. 123)
Inequivalent atoms, fractional coordinates:
1 Sc 0.000 0.000 0.000
2 Ti 0.000 0.500 0.500
3 Ag 0.500 0.500 0.000
4 N 0.000 0.000 0.500

Values from the calculation:
VASP energy = -7.466 eV per atom
Mass density = 5.70 g/cm3
E_form (uncorrected) = -0.81 eV per atom



Record 4
Entry from the Alexandria database: ErHSe2 after structural relaxation (PBE).

Lattice parameters (Å, degrees): 7.145 4.195 7.406 90.00 109.25 90.00
Space group P2_1/m (No. 11)
Inequivalent atoms, fractional coordinates:
1 Er 0.011 0.250 0.226
2 H 0.428 0.250 0.726
3 Se 0.202 0.250 0.643
4 Se 0.234 0.750 0.154

Values from the calculation:
VASP energy = -4.854 eV per atom
Excess energy over the best structure of this formula in the dataset = 0.0000 eV per atom
Mass density = 5.17 g/cm3



Record 5
Entry from the Alexandria database: SmHoAlRu after structural relaxation (PBE).

Lattice parameters (Å, degrees): 7.069 7.069 7.069 90.00 90.00 90.00
Space group F-43m (No. 216)
Inequivalent atoms, fractional coordinates:
1 Sm 0.000 0.000 0.000
2 Ho 0.000 0.000 0.500
3 Al 0.250 0.250 0.750
4 Ru 0.250 0.250 0.250

Values from the calculation:
VASP energy = -5.881 eV per atom
Mass density = 8.34 g/cm3



Record 6
Entry from the Alexandria database: Ba4NiSb after structural relaxation (PBE).

Lattice parameters (Å, degrees): 9.933 9.933 9.933 90.00 90.00 90.00
Space group F-43m (No. 216)
Inequivalent atoms, fractional coordinates:
1 Ba 0.125 0.125 0.125
2 Ni 0.250 0.250 0.750
3 Sb 0.000 0.000 0.500

Values from the calculation:
VASP energy = -2.426 eV per atom
Mass density = 4.95 g/cm3
E_form (uncorrected) = 0.51 eV per atom



Question: Which formula does entry 4 have?
Answer: ErHSe2